(1)
DFT (GGA-PBEsol) results for crystalline CaCd3O4 at its relaxed geometry.

Properties
energy relative to the elements, uncorrected	-1.538	eV per atom
uncorrected energy	-4.88	eV per atom
excess energy over the best structure of this formula in the dataset	0	meV per atom
total magnetic moment	0.00	Bohr magnetons per cell

Cell: 3.3599 5.7613 5.7613 Å, 109.67 90.00 90.00°
Positions (direct):
O (0.5000, 0.7478, 0.7478)
O (0.5000, 0.2521, 0.2521)
O (0.0000, 0.7508, 0.2492)
O (0.0000, 0.2492, 0.7508)
Ca (0.0000, 0.5000, 0.5000)
Cd (0.5000, 0.5000, 0.0000)
Cd (0.5000, 0.0000, 0.5000)
Cd (0.0000, 0.0000, 0.0000)



(2)
DFT (GGA-PBEsol) results for crystalline Ca3CdO4 at its relaxed geometry.

Properties
energy relative to the elements, uncorrected	-2.533	eV per atom
uncorrected energy	-6.11	eV per atom
total magnetic moment	0.00	Bohr magnetons per cell

Cell: 3.3737 5.8103 5.8103 Å, 109.73 90.00 90.00°
Positions (direct):
O (0.5000, 0.2533, 0.2533)
O (0.5000, 0.7467, 0.7467)
O (0.0000, 0.2534, 0.7466)
O (0.0000, 0.7466, 0.2534)
Ca (0.5000, 0.0000, 0.5000)
Ca (0.5000, 0.5000, 0.0000)
Ca (0.0000, 0.5000, 0.5000)
Cd (0.0000, 0.0000, 0.0000)



(3)
DFT (GGA-PBEsol) results for crystalline Ca3Cd5P8O28 at its relaxed geometry.

Properties
energy relative to the elements, uncorrected	-2.251	eV per atom
uncorrected energy	-6.93	eV per atom
total magnetic moment	0.00	Bohr magnetons per cell

Cell: 6.6644 6.7214 13.2610 Å, 86.72 83.51 65.52°
Positions (direct):
P (0.1355, 0.1912, 0.0673)
P (0.1330, 0.1911, 0.5692)
P (0.7392, 0.2285, 0.3250)
P (0.2636, 0.7597, 0.6719)
P (0.2596, 0.7673, 0.1750)
P (0.8670, 0.8159, 0.9314)
P (0.7401, 0.2423, 0.8247)
P (0.8610, 0.8043, 0.4352)
O (0.7569, 0.8842, 0.5436)
O (0.7607, 0.8948, 0.0387)
O (0.2416, 0.1107, 0.9600)
O (0.1137, 0.6524, 0.7181)
O (0.6199, 0.1935, 0.7441)
O (0.2875, 0.2391, 0.1300)
O (0.7078, 0.7598, 0.3721)
O (0.5583, 0.3638, 0.9103)
O (0.9007, 0.3706, 0.0693)
O (0.8896, 0.3552, 0.7861)
O (0.3990, 0.7997, 0.7493)
O (0.8956, 0.3677, 0.5710)
O (0.9009, 0.0113, 0.3801)
O (0.0956, 0.6255, 0.4317)
O (0.1157, 0.6504, 0.2158)
O (0.2369, 0.1093, 0.4620)
O (0.1029, 0.6383, 0.9302)
O (0.0944, 0.9866, 0.1238)
O (0.4292, 0.6349, 0.5830)
O (0.8846, 0.3449, 0.2855)
O (0.5498, 0.3554, 0.4066)
O (0.9065, 0.0195, 0.8735)
O (0.4457, 0.6429, 0.0916)
O (0.6298, 0.1657, 0.2436)
O (0.3736, 0.8272, 0.2555)
O (0.0957, 0.9874, 0.6283)
O (0.7150, 0.7659, 0.8693)
O (0.2834, 0.2438, 0.6308)
Ca (0.2399, 0.3258, 0.8146)
Ca (0.7618, 0.6840, 0.1871)
Ca (0.2389, 0.3139, 0.3135)
Cd (0.7743, 0.6722, 0.6861)
Cd (0.3782, 0.7424, 0.4223)
Cd (0.3918, 0.7452, 0.9234)
Cd (0.6138, 0.2603, 0.0756)
Cd (0.6113, 0.2555, 0.5739)



(4)
DFT (GGA-PBEsol) results for crystalline Ca2CdRhO at its relaxed geometry.

Properties
energy relative to the elements, uncorrected	-0.436	eV per atom
uncorrected energy	-4.21	eV per atom
total magnetic moment	0.00	Bohr magnetons per cell

Cell: 3.7291 5.6498 5.6498 Å, 90.00 90.00 90.00°
Positions (direct):
Ca (0.0000, 0.5000, 0.0000)
Ca (0.0000, 0.0000, 0.5000)
O (0.5000, 0.0000, 0.0000)
Cd (0.5000, 0.5000, 0.5000)
Rh (0.0000, 0.0000, 0.0000)



(5)
DFT (GGA-PBEsol) results for crystalline CaCdW2O8 at its relaxed geometry.

Properties
energy relative to the elements, uncorrected	-2.206	eV per atom
uncorrected energy	-8.28	eV per atom
total magnetic moment	0.00	Bohr magnetons per cell

Cell: 5.2102 5.2102 6.6751 Å, 112.97 112.97 90.00°
Positions (direct):
Ca (0.7500, 0.2500, 0.5000)
O (0.0023, 0.4189, 0.3223)
O (0.5811, 0.6801, 0.6777)
O (0.7499, 0.8293, 0.1774)
O (0.1707, 0.5725, 0.8226)
O (0.6519, 0.2501, 0.8226)
O (0.4275, 0.3481, 0.1774)
O (0.0966, 0.9977, 0.6777)
O (0.3199, 0.9034, 0.3223)
W (0.2500, 0.7500, 0.5000)
W (0.5000, 0.5000, 0.0000)
Cd (0.0000, 0.0000, 0.0000)



(6)
DFT (GGA-PBEsol) results for crystalline Ca2CdOs at its relaxed geometry.

Properties
ΔH_f (0 K)	1.42	eV/f.u.
uncorrected energy	-4.07	eV per atom
total magnetic moment	0.34	Bohr magnetons per cell

Cell: 3.2734 5.1720 5.1720 Å, 90.01 90.00 90.00°
Last column: magnetic moment on the atom in μB.
Positions (direct):
Ca (0.0000, 0.0000, 0.5000)  0.00
Ca (0.0000, 0.5000, 0.0000)  0.00
Cd (0.5000, 0.5000, 0.5000)  0.00
Os (0.5000, 0.0000, 0.0000)  0.32